Record 1
BaPrPt10 after structural relaxation, computed with PBE-GGA.

The space-group type is Pmmm, No. 47. The volume is 19.4 Å³/atom. For the total energy, the calculation gives -6.204 eV/atom. The crystal system is orthorhombic. For the formation energy, the calculation gives -0.61 eV/atom.

a b c (Å): 4.3942 5.5437 9.5643
angles (deg): 90.00 90.00 90.00
Last column: nearest neighbours and their distance in Å.
Positions (direct):
1 Pt 0.0000 0.5000 0.1735  6 Pt 2.71-2.75
2 Pt 0.5000 0.7462 0.7428  8 Pt 2.71-2.81
3 Pt 0.0000 0.0000 0.6614  6 Pt 2.69-2.72
4 Pt 0.5000 0.2538 0.2572  8 Pt 2.71-2.81
5 Pt 0.5000 0.7462 0.2572  8 Pt 2.71-2.81
6 Pt 0.0000 0.0000 0.3386  6 Pt 2.69-2.72
7 Pt 0.5000 0.5000 0.0000  8 Pt 2.75-2.81
8 Pt 0.5000 0.0000 0.5000  8 Pt 2.69-2.71
9 Pt 0.5000 0.2538 0.7428  8 Pt 2.71-2.81
10 Pt 0.0000 0.5000 0.8265  6 Pt 2.71-2.75
11 Pr 0.0000 0.5000 0.5000  14 Pt 3.12-3.48
12 Ba 0.0000 0.0000 0.0000  18 Pt 3.23-3.59

=====

Record 2
Ba2PrSb3Pt4 after structural relaxation, computed with PBE-GGA.

The space-group type is P-4m2, No. 115. The volume is 26.0 Å³/atom. For the total energy, the calculation gives -5.378 eV/atom. The crystal system is tetragonal.

a b c (Å): 4.7812 4.7812 11.3630
angles (deg): 90.00 90.00 90.00
Last column: nearest neighbours and their distance in Å.
Positions (direct):
1 Ba 0.5000 0.0000 0.2279  8 Pt 3.52-3.67, 7 Sb 3.61-3.92, 2 Pr 3.91
2 Ba 0.0000 0.5000 0.7721  8 Pt 3.52-3.67, 7 Sb 3.61-3.92, 2 Pr 3.91
3 Sb 0.0000 0.0000 0.5000  4 Pt 2.92
4 Sb 0.0000 0.5000 0.1171  5 Pt 2.68-2.74
5 Sb 0.5000 0.0000 0.8829  5 Pt 2.68-2.74
6 Pt 0.5000 0.5000 0.0000  4 Sb 2.74
7 Pt 0.0000 0.0000 0.0000  4 Sb 2.74
8 Pt 0.0000 0.5000 0.3529  3 Sb 2.68-2.92, 2 Pr 2.92
9 Pt 0.5000 0.0000 0.6471  3 Sb 2.68-2.92, 2 Pr 2.92
10 Pr 0.5000 0.5000 0.5000  4 Pt 2.92

=====

Record 3
Ba2PrSn3Pt4 after structural relaxation, computed with PBE-GGA.

The space-group type is P-4m2, No. 115. The volume is 26.1 Å³/atom. For the total energy, the calculation gives -5.312 eV/atom. The crystal system is tetragonal. For the formation energy, the calculation gives -0.83 eV/atom.

a b c (Å): 4.8081 4.8081 11.2790
angles (deg): 90.00 90.00 90.00
Last column: nearest neighbours and their distance in Å.
Positions (direct):
1 Pt 0.0000 0.0000 0.0000  4 Sn 2.73
2 Pt 0.5000 0.5000 0.0000  4 Sn 2.73
3 Pt 0.0000 0.5000 0.3542  3 Sn 2.70-2.91, 2 Pr 2.91
4 Pt 0.5000 0.0000 0.6458  3 Sn 2.70-2.91, 2 Pr 2.91
5 Sn 0.5000 0.0000 0.8856  5 Pt 2.70-2.73
6 Sn 0.0000 0.0000 0.5000  4 Pt 2.91
7 Sn 0.0000 0.5000 0.1144  5 Pt 2.70-2.73
8 Pr 0.5000 0.5000 0.5000  4 Pt 2.91
9 Ba 0.5000 0.0000 0.2301  8 Pt 3.54-3.68, 7 Sn 3.64-3.89, 2 Pr 3.88
10 Ba 0.0000 0.5000 0.7699  8 Pt 3.54-3.68, 7 Sn 3.64-3.89, 2 Pr 3.88

=====

Record 4
BaPrZn2Pt2 after structural relaxation, computed with PBE-GGA.

The space-group type is P-3m1, No. 164. The volume is 24.5 Å³/atom. For the total energy, the calculation gives -4.317 eV/atom. The crystal system is trigonal. For the formation energy, the calculation gives -0.76 eV/atom.

a b c (Å): 4.5009 4.5009 8.3620
angles (deg): 90.00 90.00 120.00
Last column: nearest neighbours and their distance in Å.
Positions (direct):
1 Pt 0.3333 0.6667 0.2897  3 Zn 2.60
2 Pt 0.6667 0.3333 0.7103  3 Zn 2.60
3 Zn 0.3333 0.6667 0.7201  3 Pt 2.60
4 Zn 0.6667 0.3333 0.2799  3 Pt 2.60
5 Ba 0.0000 0.0000 0.0000  6 Zn 3.50, 6 Pt 3.55
6 Pr 0.0000 0.0000 0.5000  6 Pt 3.14, 6 Zn 3.18

=====

Record 5
BaPr2Pu after structural relaxation, computed with PBE-GGA.

The space-group type is P4/mmm, No. 123. The volume is 38.1 Å³/atom. For the total energy, the calculation gives -6.243 eV/atom. The crystal system is tetragonal. For the formation energy, the calculation gives 0.21 eV/atom.

a b c (Å): 3.7381 3.7381 10.9062
angles (deg): 90.00 90.00 90.00
Last column: nearest neighbours and their distance in Å.
Positions (direct):
1 Ba 0.5000 0.5000 0.5000  4 Ba 3.74, 8 Pr 4.12
2 Pr 0.0000 0.0000 0.2107  4 Pu 3.50, 4 Pr 3.74
3 Pr 0.0000 0.0000 0.7893  4 Pu 3.50, 4 Pr 3.74
4 Pu 0.5000 0.5000 0.0000  8 Pr 3.50, 4 Pu 3.74

=====

Record 6
Ba3Pr2PuSe6 after structural relaxation, computed with PBE-GGA.

The space-group type is C2/m, No. 12. The volume is 31.3 Å³/atom. For the total energy, the calculation gives -6.067 eV/atom. The crystal system is monoclinic.

a b c (Å): 7.6374 7.6374 7.8631
angles (deg): 99.32 99.32 120.01
Last column: nearest neighbours and their distance in Å.
Positions (direct):
1 Pr 0.3335 0.6665 0.0000  6 Se 3.05
2 Pr 0.6665 0.3335 0.0000  6 Se 3.05
3 Ba 0.8324 0.1676 0.5000  6 Se 3.27-3.29
4 Ba 0.1676 0.8324 0.5000  6 Se 3.27-3.29
5 Ba 0.5000 0.5000 0.5000  6 Se 3.27-3.30
6 Se 0.9260 0.5964 0.7778  1 Pu 3.01, 2 Pr 3.05, 3 Ba 3.27-3.29
7 Se 0.7447 0.7447 0.2227  1 Pu 3.01, 2 Pr 3.05, 3 Ba 3.27-3.30
8 Se 0.2553 0.2553 0.7773  1 Pu 3.01, 2 Pr 3.05, 3 Ba 3.27-3.30
9 Se 0.0740 0.4036 0.2222  1 Pu 3.01, 2 Pr 3.05, 3 Ba 3.27-3.29
10 Se 0.4036 0.0740 0.2222  1 Pu 3.01, 2 Pr 3.05, 3 Ba 3.27-3.29
11 Se 0.5964 0.9260 0.7778  1 Pu 3.01, 2 Pr 3.05, 3 Ba 3.27-3.29
12 Pu 0.0000 0.0000 0.0000  6 Se 3.01

=====

Record 7
Ba3Pr2PuTe6 after structural relaxation, computed with PBE-GGA.

The space-group type is C2/m, No. 12. The volume is 37.6 Å³/atom. For the total energy, the calculation gives -5.565 eV/atom. The crystal system is monoclinic.

a b c (Å): 8.1198 8.1198 8.3468
angles (deg): 99.33 99.33 120.03
Last column: nearest neighbours and their distance in Å.
Positions (direct):
1 Te 0.5949 0.9254 0.7756  1 Pu 3.21, 2 Pr 3.25, 3 Ba 3.46-3.48
2 Te 0.2551 0.2551 0.7750  1 Pu 3.22, 2 Pr 3.24, 3 Ba 3.47-3.49
3 Te 0.0746 0.4051 0.2244  1 Pu 3.21, 2 Pr 3.25, 3 Ba 3.46-3.48
4 Te 0.7449 0.7449 0.2250  1 Pu 3.22, 2 Pr 3.24, 3 Ba 3.47-3.49
5 Te 0.9254 0.5949 0.7756  1 Pu 3.21, 2 Pr 3.25, 3 Ba 3.46-3.48
6 Te 0.4051 0.0746 0.2244  1 Pu 3.21, 2 Pr 3.25, 3 Ba 3.46-3.48
7 Pr 0.3337 0.6663 0.0000  6 Te 3.24-3.25
8 Pr 0.6663 0.3337 0.0000  6 Te 3.24-3.25
9 Pu 0.0000 0.0000 0.0000  6 Te 3.21-3.22
10 Ba 0.1678 0.8322 0.5000  6 Te 3.46-3.48
11 Ba 0.5000 0.5000 0.5000  6 Te 3.46-3.49
12 Ba 0.8322 0.1678 0.5000  6 Te 3.46-3.48

=====

Record 8
RbBa2PrSe4 after structural relaxation, computed with PBE-GGA.

The space-group type is P2/m, No. 10. The volume is 35.0 Å³/atom. For the total energy, the calculation gives -4.741 eV/atom. The crystal system is monoclinic.

a b c (Å): 4.6105 7.9047 8.1241
angles (deg): 71.26 90.00 90.00
Last column: nearest neighbours and their distance in Å.
Positions (direct):
1 Pr 0.0000 0.5000 0.5000  6 Se 3.02-3.14
2 Ba 0.5000 0.0000 0.5000  6 Se 3.22
3 Ba 0.0000 0.0000 0.0000  6 Se 3.43-3.49
4 Se 0.0000 0.7414 0.7230  1 Pr 3.02, 2 Ba 3.22, 2 Rb 3.36
5 Se 0.5000 0.2691 0.7257  2 Pr 3.14, 3 Ba 3.22-3.43, 1 Rb 3.30
6 Se 0.5000 0.7309 0.2743  2 Pr 3.14, 3 Ba 3.22-3.43, 1 Rb 3.30
7 Se 0.0000 0.2586 0.2770  1 Pr 3.02, 2 Ba 3.22, 2 Rb 3.36
8 Rb 0.5000 0.5000 0.0000  6 Se 3.30-3.36

=====

Record 9
BaPrRh2 after structural relaxation, computed with PBE-GGA.

The space-group type is P4/mmm, No. 123. The volume is 25.1 Å³/atom. For the total energy, the calculation gives -5.639 eV/atom. The crystal system is tetragonal. For the formation energy, the calculation gives -0.29 eV/atom.

a b c (Å): 3.6501 3.6501 7.5393
angles (deg): 90.00 90.00 90.00
Last column: nearest neighbours and their distance in Å.
Positions (direct):
1 Pr 0.5000 0.5000 0.0000  8 Rh 3.02
2 Rh 0.0000 0.0000 0.2084  4 Pr 3.02, 1 Rh 3.14
3 Rh 0.0000 0.0000 0.7916  4 Pr 3.02, 1 Rh 3.14
4 Ba 0.5000 0.5000 0.5000  8 Rh 3.39, 4 Ba 3.65, 2 Pr 3.77

=====

Record 10
BaPr2Rh9 after structural relaxation, computed with PBE-GGA.

The space-group type is R-3m, No. 166. The volume is 18.7 Å³/atom. For the total energy, the calculation gives -6.801 eV/atom. The crystal system is trigonal. For the formation energy, the calculation gives -0.33 eV/atom.

a b c (Å): 5.4183 5.4183 9.3839
angles (deg): 73.22 73.22 60.00
Last column: nearest neighbours and their distance in Å.
Positions (direct):
1 Rh 0.5820 0.0839 0.7520  7 Rh 2.68-2.72
2 Rh 0.5000 0.5000 0.5000  6 Rh 2.72
3 Rh 0.5820 0.5820 0.7520  7 Rh 2.68-2.72
4 Rh 0.4180 0.9161 0.2480  7 Rh 2.68-2.72
5 Rh 0.4180 0.4180 0.2480  7 Rh 2.68-2.72
6 Rh 0.6675 0.6675 0.9976  6 Rh 2.68-2.71
7 Rh 0.0839 0.5820 0.7520  7 Rh 2.68-2.72
8 Rh 0.9161 0.4180 0.2480  7 Rh 2.68-2.72
9 Rh 0.3325 0.3325 0.0024  6 Rh 2.68-2.71
10 Ba 0.0000 0.0000 0.0000  18 Rh 3.13-3.49
11 Pr 0.1384 0.1384 0.5848  12 Rh 3.09-3.37
12 Pr 0.8616 0.8616 0.4152  12 Rh 3.09-3.37

=====

Record 11
BaPr3Rh after structural relaxation, computed with PBE-GGA.

The space-group type is Pm-3m, No. 221. The volume is 38.5 Å³/atom. For the total energy, the calculation gives -4.891 eV/atom. The crystal system is cubic. For the formation energy, the calculation gives -0.17 eV/atom.

a b c (Å): 5.7755 5.7755 5.7755
angles (deg): 90.00 90.00 90.00
Last column: nearest neighbours and their distance in Å.
Positions (direct):
1 Rh 0.0000 0.0000 0.0000  6 Pr 2.89
2 Ba 0.5000 0.5000 0.5000  12 Pr 4.08
3 Pr 0.0000 0.0000 0.5000  2 Rh 2.89
4 Pr 0.0000 0.5000 0.0000  2 Rh 2.89
5 Pr 0.5000 0.0000 0.0000  2 Rh 2.89

=====

Record 12
Ba2PrSb3Rh4 after structural relaxation, computed with PBE-GGA.

The space-group type is P-4m2, No. 115. The volume is 24.5 Å³/atom. For the total energy, the calculation gives -5.764 eV/atom. The crystal system is tetragonal.

a b c (Å): 4.6562 4.6562 11.3193
angles (deg): 90.00 90.00 90.00
Last column: nearest neighbours and their distance in Å.
Positions (direct):
1 Sb 0.5000 0.0000 0.8805  5 Rh 2.68-2.69
2 Sb 0.0000 0.5000 0.1195  5 Rh 2.68-2.69
3 Sb 0.0000 0.0000 0.5000  4 Rh 2.84
4 Pr 0.5000 0.5000 0.5000  4 Rh 2.84
5 Rh 0.5000 0.0000 0.6440  3 Sb 2.68-2.84, 2 Pr 2.84
6 Rh 0.5000 0.5000 0.0000  4 Sb 2.69
7 Rh 0.0000 0.0000 0.0000  4 Sb 2.69
8 Rh 0.0000 0.5000 0.3560  3 Sb 2.68-2.84, 2 Pr 2.84
9 Ba 0.5000 0.0000 0.2358  8 Rh 3.54-3.56, 6 Sb 3.55-3.79, 2 Pr 3.79
10 Ba 0.0000 0.5000 0.7642  8 Rh 3.54-3.56, 6 Sb 3.55-3.79, 2 Pr 3.79